# 1
A relaxed BaNaIrO6 crystal, computed with PBE.

The structure in POSCAR format:
```
BaNaIrO6
1.0
-2.388 1.153 5.070
-5.608 -0.838 0.783
0.989 -5.093 1.625
O Na Ir Ba
6 1 1 1
Direct
0.597 0.062 0.302
0.062 0.597 0.697
0.342 0.062 0.699
0.596 0.342 0.699
0.063 0.341 0.302
0.341 0.596 0.301
0.666 0.667 0.500
0.334 0.333 0.500
0.000 0.000 0.000
```

## Properties
Magnetization, μB/f.u.: 0.08
Symmetry: C2 (5)
Raw formation energy, kJ/mol of atoms: -107.0
V, Å³/atom: 17.13
Total energy, eV per atom: -5.760

=====

# 2
A relaxed SbPS4 crystal, computed with PBE.

The structure in POSCAR format:
```
SbPS4
1.0
5.651 -0.942 0.000
-3.783 7.262 0.000
0.000 0.000 8.614
S P Sb
8 2 2
Direct
0.576 0.824 0.750
0.706 0.870 0.250
0.962 0.305 0.931
0.038 0.695 0.431
0.038 0.695 0.069
0.294 0.130 0.750
0.424 0.176 0.250
0.962 0.305 0.569
0.072 0.867 0.250
0.928 0.133 0.750
0.076 0.763 0.750
0.924 0.237 0.250
```

## Properties
Magnetization, μB/f.u.: 0.00
E above lowest polymorph, eV/atom: 0.032
Symmetry: P2_1/m (11)
Raw formation energy, kJ/mol of atoms: -14.0
V, Å³/atom: 26.90
Total energy, eV per atom: -4.485

=====

# 3
A relaxed Pm12Bi3C5 crystal, computed with PBE.

The structure in POSCAR format:
```
Pm12Bi3C5
1.0
14.242 0.000 0.000
-4.747 13.427 0.000
-4.747 -6.714 11.628
Pm C Bi
48 20 12
Direct
0.302 0.889 0.985
0.087 0.904 0.389
0.404 0.389 0.587
0.683 0.198 0.587
0.913 0.817 0.802
0.485 0.802 0.889
0.802 0.317 0.913
0.485 0.683 0.096
0.889 0.302 0.485
0.985 0.596 0.183
0.198 0.515 0.611
0.389 0.985 0.802
0.698 0.111 0.015
0.404 0.015 0.317
0.596 0.611 0.413
0.587 0.889 0.404
0.802 0.485 0.389
0.111 0.413 0.096
0.302 0.413 0.817
0.015 0.404 0.817
0.183 0.096 0.985
0.904 0.087 0.889
0.698 0.587 0.183
0.913 0.096 0.611
0.596 0.985 0.683
0.611 0.596 0.913
0.317 0.515 0.404
0.413 0.302 0.317
0.611 0.015 0.198
0.683 0.485 0.596
0.413 0.111 0.596
0.183 0.087 0.698
0.515 0.198 0.111
0.096 0.913 0.111
0.817 0.904 0.015
0.198 0.683 0.087
0.587 0.698 0.683
0.817 0.913 0.302
0.096 0.183 0.485
0.087 0.183 0.198
0.111 0.698 0.515
0.317 0.802 0.413
0.515 0.317 0.904
0.904 0.817 0.515
0.015 0.611 0.698
0.389 0.404 0.087
0.985 0.389 0.302
0.889 0.587 0.904
0.250 0.375 0.625
0.375 0.125 0.750
0.750 0.625 0.375
0.875 0.625 0.750
0.000 0.500 0.500
0.000 0.000 0.000
0.875 0.250 0.625
0.125 0.750 0.375
0.625 0.875 0.250
0.375 0.250 0.125
0.625 0.750 0.875
0.125 0.375 0.250
0.500 0.000 0.500
0.250 0.875 0.125
0.750 0.125 0.875
0.500 0.500 0.500
0.000 0.000 0.500
0.500 0.000 0.000
0.000 0.500 0.000
0.500 0.500 0.000
0.875 0.750 0.125
0.250 0.125 0.375
0.625 0.375 0.750
0.250 0.625 0.875
0.375 0.625 0.250
0.125 0.250 0.875
0.375 0.750 0.625
0.125 0.875 0.750
0.750 0.875 0.625
0.750 0.375 0.125
0.625 0.250 0.375
0.875 0.125 0.250
```

## Properties
Calculated formation energy, eV/atom: -0.25
Magnetization, μB/f.u.: 0.00
Fermi-level density of states, states/eV/cell: 50.8
Symmetry: Ia-3d (230)
V, Å³/atom: 27.80
Total energy, eV per atom: -5.987

=====

# 4
A relaxed LaP2SI crystal, computed with PBE.

The structure in POSCAR format:
```
LaP2SI
1.0
-3.223 -2.860 2.754
3.773 -3.310 0.979
1.213 2.602 4.122
I S P La
1 1 2 1
Direct
0.000 0.000 0.000
0.000 0.000 0.500
0.500 0.000 0.000
0.000 0.500 0.000
0.500 0.500 0.500
```

## Properties
Magnetization, μB/f.u.: 0.00
E above lowest polymorph, eV/atom: 0.000
Fermi-level density of states, states/eV/cell: 4.5
Symmetry: P4/mmm (123)
Raw formation energy, kJ/mol of atoms: 24.5
V, Å³/atom: 26.27
Total energy, eV per atom: -4.031

=====

# 5
A relaxed CaCuP3 crystal, computed with PBE.

The structure in POSCAR format:
```
CaCuP3
1.0
-3.385 1.441 -2.776
-2.784 0.477 3.642
1.426 4.351 0.521
Cu Ca P
1 1 3
Direct
0.000 0.000 0.000
0.500 0.500 0.500
0.000 0.500 0.000
0.000 0.000 0.500
0.500 0.000 0.000
```

## Properties
Calculated formation energy, eV/atom: 0.13
Magnetization, μB/f.u.: 0.00
E above lowest polymorph, eV/atom: 0.000
Fermi-level density of states, states/eV/cell: 3.2
Symmetry: Pm-3m (221)
V, Å³/atom: 19.58
Total energy, eV per atom: -4.331

=====

# 6
A relaxed TbPr8Ho2 crystal, computed with PBE.

The structure in POSCAR format:
```
TbPr8Ho2
1.0
5.806 1.694 0.000
2.726 8.818 0.000
1.363 4.409 8.350
Pr Tb Ho
8 1 2
Direct
0.500 0.794 0.411
0.820 0.098 0.237
0.704 0.579 0.000
0.296 0.421 0.000
0.180 0.902 0.763
0.500 0.206 0.589
0.180 0.665 0.237
0.820 0.335 0.763
0.500 0.000 0.000
0.000 0.310 0.380
0.000 0.690 0.620
```

## Properties
Calculated formation energy, eV/atom: 0.14
Magnetization, μB/f.u.: 0.00
E above lowest polymorph, eV/atom: 0.000
Fermi-level density of states, states/eV/cell: 14.8
Symmetry: C2/m (12)
V, Å³/atom: 35.35
Total energy, eV per atom: -4.594

=====

# 7
A relaxed TlTe2Pd2 crystal, computed with PBE.

The structure in POSCAR format:
```
TlTe2Pd2
1.0
-3.289 3.861 6.877
4.746 -4.982 5.067
2.336 2.139 -0.084
Te Tl Pd
4 2 4
Direct
0.853 0.647 0.000
0.147 0.353 0.000
0.647 0.147 0.000
0.353 0.853 0.000
0.000 0.000 0.000
0.500 0.500 0.000
0.342 0.158 0.500
0.158 0.658 0.500
0.842 0.342 0.500
0.658 0.842 0.500
```

## Properties
Magnetization, μB/f.u.: 0.00
E above lowest polymorph, eV/atom: 0.198
Fermi-level density of states, states/eV/cell: 4.6
Symmetry: P4/mbm (127)
Raw formation energy, kJ/mol of atoms: -7.6
V, Å³/atom: 23.13
Total energy, eV per atom: -3.886

=====

# 8
A relaxed La2YTe5 crystal, computed with PBE.

The structure in POSCAR format:
```
La2YTe5
1.0
5.318 0.000 0.000
0.000 7.523 0.000
0.000 0.000 7.523
La Te Y
2 5 1
Direct
0.500 0.000 0.500
0.500 0.500 0.000
0.000 0.721 0.279
0.000 0.279 0.279
0.500 0.000 0.000
0.000 0.721 0.721
0.000 0.279 0.721
0.000 0.000 0.000
```

## Properties
Magnetization, μB/f.u.: 0.37
Fermi-level density of states, states/eV/cell: 3.6
Symmetry: P4/mmm (123)
Raw formation energy, kJ/mol of atoms: -82.6
V, Å³/atom: 37.63
Total energy, eV per atom: -4.859

=====

# 9
A relaxed SrTa3Ag crystal, computed with PBE.

The structure in POSCAR format:
```
SrTa3Ag
1.0
4.875 0.000 0.000
0.000 4.875 0.000
0.000 0.000 4.875
Ag Ta Sr
1 3 1
Direct
0.500 0.500 0.500
0.000 0.000 0.500
0.500 0.000 0.000
0.000 0.500 0.000
0.000 0.000 0.000
```

## Properties
Calculated formation energy, eV/atom: 2.94
Magnetization, μB/f.u.: 0.00
E above lowest polymorph, eV/atom: 1.108
Fermi-level density of states, states/eV/cell: 5.9
Symmetry: Pm-3m (221)
V, Å³/atom: 23.17
Total energy, eV per atom: -5.074

=====

# 10
A relaxed PuTlH crystal, computed with PBE.

The structure in POSCAR format:
```
PuTlH
1.0
-1.677 -4.960 -0.662
1.023 0.124 -3.517
2.364 -1.141 2.557
H Pu Tl
1 1 1
Direct
0.167 0.000 0.000
0.167 0.667 0.333
0.667 0.333 0.667
```

## Properties
Magnetization, μB/f.u.: 5.59
E above lowest polymorph, eV/atom: 0.000
Fermi-level density of states, states/eV/cell: 8.1
Symmetry: P-6m2 (187)
V, Å³/atom: 20.46
Total energy, eV per atom: -6.746

=====

# 11
A relaxed Sm2NbReN6 crystal, computed with PBE.

The structure in POSCAR format:
```
Sm2NbReN6
1.0
-4.454 -0.956 3.205
1.192 -5.584 -0.010
4.491 0.947 6.465
Nb N Sm Re
2 12 4 2
Direct
0.500 0.000 0.000
0.000 0.500 0.500
0.799 0.789 0.956
0.918 0.518 0.244
0.286 0.700 0.042
0.701 0.289 0.544
0.786 0.800 0.542
0.418 0.982 0.744
0.214 0.200 0.458
0.582 0.018 0.256
0.201 0.211 0.044
0.299 0.711 0.456
0.082 0.482 0.756
0.714 0.300 0.958
0.491 0.448 0.250
0.509 0.552 0.750
0.991 0.052 0.750
0.009 0.948 0.250
0.000 0.500 0.000
0.500 0.000 0.500
```

## Properties
Magnetization, μB/f.u.: 0.00
Fermi-level density of states, states/eV/cell: 9.5
Symmetry: P2_1/c (14)
Raw formation energy, kJ/mol of atoms: -80.0
V, Å³/atom: 12.61
Total energy, eV per atom: -9.020

=====

# 12
A relaxed Pr2Y3Ho6 crystal, computed with PBE.

The structure in POSCAR format:
```
Pr2Y3Ho6
1.0
-1.416 -3.463 2.934
3.900 0.644 2.642
-9.339 12.545 6.451
Y Pr Ho
3 2 6
Direct
0.797 0.797 0.594
0.203 0.203 0.406
0.000 0.000 0.000
0.454 0.454 0.907
0.546 0.546 0.093
0.378 0.878 0.757
0.878 0.378 0.757
0.622 0.122 0.243
0.307 0.307 0.614
0.122 0.622 0.243
0.693 0.693 0.386
```

## Properties
Calculated formation energy, eV/atom: 0.26
Magnetization, μB/f.u.: 0.00
E above lowest polymorph, eV/atom: 0.074
Fermi-level density of states, states/eV/cell: 16.9
Symmetry: I4/mmm (139)
V, Å³/atom: 34.07
Total energy, eV per atom: -4.869

=====

# 13
A relaxed La3Pr2Dy5 crystal, computed with PBE.

The structure in POSCAR format:
```
La3Pr2Dy5
1.0
-2.425 -3.566 -8.149
7.109 0.789 -5.795
0.531 -6.244 9.457
La Dy Pr
6 10 4
Direct
0.271 0.523 0.749
0.770 0.020 0.040
0.022 0.774 0.251
0.978 0.226 0.749
0.729 0.477 0.251
0.230 0.980 0.960
0.861 0.608 0.728
0.469 0.719 0.439
0.368 0.120 0.728
0.531 0.281 0.561
0.973 0.223 0.446
0.139 0.392 0.272
0.027 0.777 0.554
0.724 0.474 0.948
0.276 0.526 0.052
0.632 0.880 0.272
0.236 0.987 0.261
0.474 0.726 0.739
0.526 0.274 0.261
0.764 0.013 0.739
```

## Properties
Calculated formation energy, eV/atom: 0.17
Magnetization, μB/f.u.: 0.00
Fermi-level density of states, states/eV/cell: 27.7
Symmetry: C2/c (15)
V, Å³/atom: 34.28
Total energy, eV per atom: -4.568

=====

# 14
A relaxed Cd2Hg2S crystal, computed with PBE.

The structure in POSCAR format:
```
Cd2Hg2S
1.0
6.877 0.000 0.000
0.000 6.877 0.000
0.000 0.000 5.714
Cd Hg S
4 4 2
Direct
0.357 0.857 0.000
0.857 0.643 0.000
0.143 0.357 0.000
0.643 0.143 0.000
0.690 0.810 0.500
0.310 0.190 0.500
0.810 0.310 0.500
0.190 0.690 0.500
0.000 0.000 0.000
0.500 0.500 0.000
```

## Properties
Magnetization, μB/f.u.: 0.00
E above lowest polymorph, eV/atom: 0.000
Fermi-level density of states, states/eV/cell: 0.1
Symmetry: P4/mbm (127)
Raw formation energy, kJ/mol of atoms: -6.1
V, Å³/atom: 27.02
Total energy, eV per atom: -1.375

=====

# 15
A relaxed LaHg2Cl crystal, computed with PBE.

The structure in POSCAR format:
```
LaHg2Cl
1.0
-0.786 3.108 1.817
0.182 -2.954 2.195
9.026 1.522 1.301
Cl Hg La
1 2 1
Direct
0.500 0.500 0.750
0.000 0.000 0.977
0.000 0.000 0.523
0.500 0.500 0.250
```

## Properties
Magnetization, μB/f.u.: 0.00
E above lowest polymorph, eV/atom: 0.369
Fermi-level density of states, states/eV/cell: 1.7
Symmetry: Cmmm (65)
Raw formation energy, kJ/mol of atoms: -45.4
V, Å³/atom: 28.86
Total energy, eV per atom: -2.315

=====

# 16
A relaxed La2BeGaPd6 crystal, computed with PBE.

The structure in POSCAR format:
```
La2BeGaPd6
1.0
5.881 0.011 0.004
-0.019 7.231 -0.907
2.934 2.972 4.161
Ga Pd La Be
1 6 2 1
Direct
0.000 0.000 0.000
0.258 0.301 0.964
0.776 0.300 0.966
0.742 0.699 0.036
0.741 0.693 0.520
0.224 0.700 0.034
0.259 0.307 0.480
0.731 0.199 0.538
0.269 0.801 0.462
0.500 0.500 0.000
```

## Properties
Calculated formation energy, eV/atom: -0.72
Magnetization, μB/f.u.: 0.00
Fermi-level density of states, states/eV/cell: 3.0
Symmetry: P-1 (2)
V, Å³/atom: 19.27
Total energy, eV per atom: -5.493

=====

# 17
A relaxed Pr3SmHg6 crystal, computed with PBE.

The structure in POSCAR format:
```
Pr3SmHg6
1.0
5.260 0.000 0.000
0.000 9.144 -2.816
0.000 0.116 11.394
Hg Pr Sm
12 6 2
Direct
0.750 0.862 0.804
0.250 0.138 0.196
0.250 0.235 0.502
0.750 0.765 0.498
0.250 0.845 0.313
0.750 0.538 0.913
0.250 0.663 0.702
0.250 0.462 0.087
0.750 0.938 0.107
0.250 0.062 0.893
0.750 0.337 0.298
0.750 0.155 0.687
0.750 0.224 0.009
0.250 0.354 0.791
0.250 0.508 0.385
0.750 0.646 0.209
0.750 0.492 0.615
0.250 0.776 0.991
0.250 0.939 0.610
0.750 0.061 0.390
```

## Properties
Calculated formation energy, eV/atom: -0.44
Magnetization, μB/f.u.: 0.00
Fermi-level density of states, states/eV/cell: 16.5
Symmetry: P2_1/m (11)
V, Å³/atom: 27.48
Total energy, eV per atom: -2.523

=====

# 18
A relaxed Tb2Tl2C crystal, computed with PBE.

The structure in POSCAR format:
```
Tb2Tl2C
1.0
3.571 0.000 0.561
1.741 3.117 0.561
0.113 0.066 10.937
Tl Tb C
2 2 1
Direct
0.873 0.873 0.380
0.127 0.127 0.620
0.625 0.625 0.125
0.375 0.375 0.875
0.000 0.000 0.000
```

## Properties
Calculated formation energy, eV/atom: -0.27
Magnetization, μB/f.u.: 0.01
Fermi-level density of states, states/eV/cell: 2.9
Symmetry: R-3m (166)
V, Å³/atom: 24.30
Total energy, eV per atom: -4.915

=====

# 19
A relaxed InRu2Br crystal, computed with PBE.

The structure in POSCAR format:
```
InRu2Br
1.0
-0.245 -3.185 0.193
2.948 -0.152 1.238
-2.504 0.559 6.031
Ru In Br
2 1 1
Direct
0.000 0.000 0.498
0.000 0.000 0.002
0.500 0.500 0.750
0.500 0.500 0.250
```

## Properties
Magnetization, μB/f.u.: 0.00
E above lowest polymorph, eV/atom: 0.336
Fermi-level density of states, states/eV/cell: 2.4
Symmetry: P4/mmm (123)
Raw formation energy, kJ/mol of atoms: 58.0
V, Å³/atom: 16.78
Total energy, eV per atom: -5.140

=====

# 20
A relaxed YInRe crystal, computed with PBE.

The structure in POSCAR format:
```
YInRe
1.0
-2.293 2.163 1.185
-0.988 -2.778 -1.627
-0.156 -3.417 5.931
Re In Y
1 1 1
Direct
0.333 0.667 0.332
0.000 0.000 0.033
0.667 0.333 0.635
```

## Properties
Calculated formation energy, eV/atom: 0.45
Magnetization, μB/f.u.: 0.00
E above lowest polymorph, eV/atom: 0.236
Fermi-level density of states, states/eV/cell: 2.7
Symmetry: P3m1 (156)
V, Å³/atom: 22.42
Total energy, eV per atom: -6.767